Record 1
The following is a DFT calculation (PBE) of SiSbI2O after structural relaxation.

Unit cell a=5.1631 b=5.1631 c=4.6386 alpha=90.00 beta=90.00 gamma=90.00
Space group P4/mmm (No. 123)
Unique sites:
Si1 0.0000 0.0000 0.0000
Sb1 0.5000 0.5000 0.0000
I1 0.0000 0.5000 0.5000
O1 0.5000 0.5000 0.5000

The density is 5.636 g cm⁻³. The magnetic moment is 0.0 μB/f.u. As for the energy above the most stable polymorph in this dataset: 781 meV/atom. The value obtained for the formation energy without anion corrections is 13.1 kcal/mol of atoms. As for the crystal system: tetragonal.


Record 2
The following is a DFT calculation (PBE) of SnSbI2O after structural relaxation.

Unit cell a=5.8206 b=5.8206 c=5.9352 alpha=90.00 beta=90.00 gamma=90.00
Space group P4/mmm (No. 123)
Unique sites:
Sn1 0.0000 0.0000 0.0000
Sb1 0.0000 0.0000 0.5000
I1 0.0000 0.5000 0.0000
O1 0.5000 0.5000 0.5000

The density is 4.214 g cm⁻³. The magnetic moment is 0.0 μB/f.u. As for the energy above the most stable polymorph in this dataset: 1129 meV/atom. The value obtained for the formation energy without anion corrections is 21.2 kcal/mol of atoms. As for the crystal system: tetragonal.


Record 3
The following is a DFT calculation (PBE) of SnSbI2O after structural relaxation.

Unit cell a=5.2650 b=5.2650 c=4.7312 alpha=90.00 beta=90.00 gamma=90.00
Space group P4/mmm (No. 123)
Unique sites:
Sn1 0.0000 0.0000 0.0000
Sb1 0.5000 0.5000 0.0000
I1 0.0000 0.5000 0.5000
O1 0.5000 0.5000 0.5000

The density is 6.461 g cm⁻³. The magnetic moment is 0.0 μB/f.u. As for the energy above the most stable polymorph in this dataset: 382 meV/atom. The value obtained for the formation energy without anion corrections is 4.0 kcal/mol of atoms. As for the crystal system: tetragonal.


Record 4
The following is a DFT calculation (PBE) of SnSb2IO after structural relaxation.

Unit cell a=4.5666 b=4.5666 c=6.6226 alpha=90.00 beta=90.00 gamma=90.00
Space group P4/mmm (No. 123)
Unique sites:
Sn1 0.0000 0.0000 0.0000
Sb1 0.0000 0.5000 0.5000
I1 0.5000 0.5000 0.0000
O1 0.5000 0.5000 0.5000

The density is 6.073 g cm⁻³. The magnetic moment is 0.0 μB/f.u. As for the energy above the most stable polymorph in this dataset: 0 meV/atom. The value obtained for the formation energy without anion corrections is -0.2 kcal/mol of atoms. As for the crystal system: tetragonal.


Record 5
The following is a DFT calculation (PBE) of SnSbI2O after structural relaxation.

Unit cell a=6.2251 b=6.2251 c=4.0900 alpha=90.00 beta=90.00 gamma=90.00
Space group P4/mmm (No. 123)
Unique sites:
Sn1 0.0000 0.0000 0.0000
Sb1 0.5000 0.5000 0.5000
I1 0.0000 0.5000 0.5000
O1 0.5000 0.5000 0.0000

The density is 5.346 g cm⁻³. The magnetic moment is 0.0 μB/f.u. As for the energy above the most stable polymorph in this dataset: 0 meV/atom. The value obtained for the formation energy without anion corrections is -4.8 kcal/mol of atoms. As for the crystal system: tetragonal.


Record 6
The following is a DFT calculation (PBE) of SnSb2IO after structural relaxation.

Unit cell a=5.7297 b=5.7297 c=5.7857 alpha=90.00 beta=90.00 gamma=90.00
Space group P4/mmm (No. 123)
Unique sites:
Sn1 0.0000 0.0000 0.0000
Sb1 0.0000 0.5000 0.0000
I1 0.0000 0.0000 0.5000
O1 0.5000 0.5000 0.5000

The density is 4.416 g cm⁻³. The magnetic moment is 0.0 μB/f.u. As for the energy above the most stable polymorph in this dataset: 1164 meV/atom. The value obtained for the formation energy without anion corrections is 26.7 kcal/mol of atoms. As for the crystal system: tetragonal.


- Which value of density does entry 1 give?
  5.636 g cm⁻³


- Which of these has the highest formation energy without anion corrections?
  number 6